Record 1
# AcIn4Sn, relaxed, DFT PBE
# - Formation enthalpy at 0 K: -162 meV per atom
# - Energy relative to the lowest polymorph listed for this composition: 2.21 kcal/mol of atoms
data_AcIn4Sn
_chemical_formula_sum 'Ac4 In16 Sn4'
_cell_length_a 8.8566
_cell_length_b 8.8566
_cell_length_c 8.8566
_cell_angle_alpha 90.00
_cell_angle_beta 90.00
_cell_angle_gamma 90.00
_symmetry_space_group_name_H-M 'F -4 3 m'
_symmetry_Int_Tables_number 216
_symmetry_space_group_name_Hall 'F -4 2 3'
loop_
_atom_site_label
_atom_site_type_symbol
_atom_site_fract_x
_atom_site_fract_y
_atom_site_fract_z
Ac1 Ac 0.0000 0.0000 0.0000
In1 In 0.1245 0.1245 0.6245
Sn1 Sn 0.2500 0.2500 0.2500


Record 2
# SrCa3Rh, relaxed, DFT PBE
# - Formation enthalpy at 0 K: -86 meV per atom
# - Energy relative to the lowest polymorph listed for this composition: 3.26 kcal/mol of atoms
data_SrCa3Rh
_chemical_formula_sum 'Sr4 Ca12 Rh4'
_cell_length_a 8.8242
_cell_length_b 12.3560
_cell_length_c 6.7087
_cell_angle_alpha 90.00
_cell_angle_beta 90.00
_cell_angle_gamma 90.00
_symmetry_space_group_name_H-M 'C m c m'
_symmetry_Int_Tables_number 63
_symmetry_space_group_name_Hall '-C 2c 2'
loop_
_atom_site_label
_atom_site_type_symbol
_atom_site_fract_x
_atom_site_fract_y
_atom_site_fract_z
Sr1 Sr 0.0000 0.0782 0.2500
Ca1 Ca 0.0000 0.5000 0.0000
Ca2 Ca 0.1920 0.2148 0.7500
Rh1 Rh 0.0000 0.3066 0.2500